Material: Pr2BeGeAu6
Method: DFT, PBE
State: optimized geometry

Computed properties:
The calculation puts the raw total energy at -4.20 eV per atom. The value obtained for the formation energy is -0.4411 eV/atom. The calculation puts the magnetic moment at 0.0 μB per cell.

Lattice parameters (Å, degrees): 6.468 6.931 6.432 62.02 61.30 89.31
Sites, in units of the cell vectors:
Pr (0.769, 0.332, 0.448)
Pr (0.231, 0.668, 0.552)
Be (0.000, 0.000, 0.000)
Ge (0.500, 0.500, 0.000)
Au (0.235, 0.210, 0.526)
Au (0.797, 0.811, 0.916)
Au (0.330, 0.850, 0.919)
Au (0.670, 0.150, 0.081)
Au (0.203, 0.189, 0.084)
Au (0.765, 0.790, 0.474)